[1]
# AgPd8Pb2 PBE optimized geometry
data_AgPd8Pb2
_chemical_formula_sum 'Ag2 Pd16 Pb4'
_symmetry_space_group_name_H-M 'I m m m'
_symmetry_Int_Tables_number 71
_symmetry_space_group_name_Hall '-I 2 2'
_cell_length_a 4.071
_cell_length_b 7.951
_cell_length_c 12.114
_cell_angle_alpha 90.00
_cell_angle_beta 90.00
_cell_angle_gamma 90.00
loop_
_atom_site_label
_atom_site_type_symbol
_atom_site_fract_x
_atom_site_fract_y
_atom_site_fract_z
_atom_site_occupancy
Ag1 Ag 0.000 0.000 0.000 1
Pd1 Pd 0.000 0.252 0.164 1
Pd2 Pd 0.000 0.252 0.500 1
Pd3 Pd 0.000 0.500 0.334 1
Pb1 Pb 0.000 0.000 0.340 1
# - Calculated density: 11.6 g/cm3
# - Energy relative to the elements: -0.1538 eV/atom
# - Crystal system: orthorhombic
# - Fermi-level density of states: 0.617 states/eV per atom

[2]
# Mg2SbTe PBE optimized geometry
data_Mg2SbTe
_chemical_formula_sum 'Mg6 Sb3 Te3'
_symmetry_space_group_name_H-M 'R -3 m'
_symmetry_Int_Tables_number 166
_symmetry_space_group_name_Hall '-R 3 2"'
_cell_length_a 4.0687
_cell_length_b 4.0687
_cell_length_c 22.2200
_cell_angle_alpha 90.00
_cell_angle_beta 90.00
_cell_angle_gamma 120.00
loop_
_atom_site_label
_atom_site_type_symbol
_atom_site_fract_x
_atom_site_fract_y
_atom_site_fract_z
_atom_site_occupancy
Mg1 Mg 0.0000 0.0000 0.2462 1
Sb1 Sb 0.0000 0.0000 0.0000 1
Te1 Te 0.0000 0.0000 0.5000 1
# - Calculated density: 4.7 g/cm3
# - ΔE_f (raw): -0.469 eV per atom
# - Crystal system: trigonal
# - Fermi-level density of states: 0.334 states/eV per atom

[3]
# Mg2AlGeO6 PBE optimized geometry
data_Mg2AlGeO6
_chemical_formula_sum 'Mg2 Al1 Ge1 O6'
_symmetry_space_group_name_H-M 'P 4 m m'
_symmetry_Int_Tables_number 99
_cell_length_a 4.834
_cell_length_b 4.834
_cell_length_c 4.787
_cell_angle_alpha 90.00
_cell_angle_beta 90.00
_cell_angle_gamma 90.00
loop_
_symmetry_equiv_pos_as_xyz
'x,y,z'
'-y,x,z'
'-x,-y,z'
'y,-x,z'
'-x,y,z'
'y,x,z'
'x,-y,z'
'-y,-x,z'
loop_
_atom_site_label
_atom_site_type_symbol
_atom_site_fract_x
_atom_site_fract_y
_atom_site_fract_z
_atom_site_occupancy
Mg1 Mg 0.000 0.500 0.000 1
Al1 Al 0.000 0.000 0.568 1
Ge1 Ge 0.500 0.500 0.571 1
O1 O 0.000 0.000 0.202 1
O2 O 0.250 0.250 0.718 1
O3 O 0.500 0.500 0.205 1
# - Calculated density: 3.6 g/cm3
# - ΔE_f (raw): -2.032 eV per atom
# - Crystal system: tetragonal
# - Fermi-level density of states: 0.408 states/eV per atom

[4]
# Ac4SbP2Se PBE optimized geometry
data_Ac4SbP2Se
_chemical_formula_sum 'Ac4 Sb1 P2 Se1'
_symmetry_space_group_name_H-M 'P 1 2/m 1'
_symmetry_Int_Tables_number 10
_cell_length_a 7.825
_cell_length_b 4.528
_cell_length_c 7.926
_cell_angle_alpha 90.00
_cell_angle_beta 109.24
_cell_angle_gamma 90.00
loop_
_symmetry_equiv_pos_as_xyz
'x,y,z'
'-x,-y,-z'
'-x,y,-z'
'x,-y,z'
loop_
_atom_site_label
_atom_site_type_symbol
_atom_site_fract_x
_atom_site_fract_y
_atom_site_fract_z
_atom_site_occupancy
Ac1 Ac 0.241 0.000 0.231 1
Ac2 Ac 0.254 0.500 0.768 1
Sb1 Sb 0.500 0.500 0.500 1
P1 P 0.000 0.500 0.000 1
P2 P 0.500 0.000 0.000 1
Se1 Se 0.000 0.000 0.500 1
# - Calculated density: 7.3 g/cm3
# - ΔE_f (raw): -1.544 eV per atom
# - Crystal system: monoclinic
# - Fermi-level density of states: 0.252 states/eV per atom

[5]
# ThPa2MoC4 PBE optimized geometry
data_ThPa2MoC4
_chemical_formula_sum 'Th4 Pa8 Mo4 C16'
_symmetry_space_group_name_H-M 'C m c m'
_symmetry_Int_Tables_number 63
_symmetry_space_group_name_Hall '-C 2c 2'
_cell_length_a 3.608
_cell_length_b 12.086
_cell_length_c 11.967
_cell_angle_alpha 90.00
_cell_angle_beta 90.00
_cell_angle_gamma 90.00
loop_
_atom_site_label
_atom_site_type_symbol
_atom_site_fract_x
_atom_site_fract_y
_atom_site_fract_z
_atom_site_occupancy
Th1 Th 0.000 0.114 0.250 1
Pa1 Pa 0.000 0.368 0.044 1
Mo1 Mo 0.000 0.148 0.750 1
C1 C 0.000 0.000 0.000 1
C2 C 0.000 0.265 0.626 1
C3 C 0.000 0.443 0.250 1
# - Calculated density: 10.7 g/cm3
# - Energy relative to the elements: -0.1721 eV/atom
# - Crystal system: orthorhombic
# - Fermi-level density of states: 1.002 states/eV per atom

[6]
# Pm2Al3CdAg4 PBE optimized geometry
data_Pm2Al3CdAg4
_chemical_formula_sum 'Pm2 Al3 Cd1 Ag4'
_symmetry_space_group_name_H-M 'P -4 m 2'
_symmetry_Int_Tables_number 115
_cell_length_a 4.334
_cell_length_b 4.334
_cell_length_c 11.460
_cell_angle_alpha 90.00
_cell_angle_beta 90.00
_cell_angle_gamma 90.00
loop_
_symmetry_equiv_pos_as_xyz
'x,y,z'
'y,-x,-z'
'-x,-y,z'
'-y,x,-z'
'-x,y,z'
'-y,-x,-z'
'x,-y,z'
'y,x,-z'
loop_
_atom_site_label
_atom_site_type_symbol
_atom_site_fract_x
_atom_site_fract_y
_atom_site_fract_z
_atom_site_occupancy
Pm1 Pm 0.000 0.500 0.241 1
Al1 Al 0.000 0.500 0.871 1
Al2 Al 0.500 0.500 0.500 1
Cd1 Cd 0.000 0.000 0.500 1
Ag1 Ag 0.000 0.000 0.000 1
Ag2 Ag 0.000 0.500 0.650 1
Ag3 Ag 0.500 0.500 0.000 1
# - Calculated density: 7.1 g/cm3
# - Energy relative to the elements: -0.2837 eV/atom
# - Crystal system: tetragonal
# - Fermi-level density of states: 0.649 states/eV per atom

[7]
# Os3WBr PBE optimized geometry
data_Os3WBr
_chemical_formula_sum 'Os3 W1 Br1'
_symmetry_space_group_name_H-M 'P m -3 m'
_symmetry_Int_Tables_number 221
_symmetry_space_group_name_Hall '-P 4 2 3'
_cell_length_a 4.499
_cell_length_b 4.499
_cell_length_c 4.499
_cell_angle_alpha 90.00
_cell_angle_beta 90.00
_cell_angle_gamma 90.00
loop_
_atom_site_label
_atom_site_type_symbol
_atom_site_fract_x
_atom_site_fract_y
_atom_site_fract_z
_atom_site_occupancy
Os1 Os 0.000 0.000 0.500 1
W1 W 0.500 0.500 0.500 1
Br1 Br 0.000 0.000 0.000 1
# - Calculated density: 15.2 g/cm3
# - ΔE_f (raw): 2.669 eV per atom
# - Crystal system: cubic
# - Fermi-level density of states: 1.555 states/eV per atom

[8]
# Cs2BaTlI5 PBE optimized geometry
data_Cs2BaTlI5
_chemical_formula_sum 'Cs8 Ba4 Tl4 I20'
_symmetry_space_group_name_H-M 'C m c 21'
_symmetry_Int_Tables_number 36
_cell_length_a 5.281
_cell_length_b 22.184
_cell_length_c 17.245
_cell_angle_alpha 90.00
_cell_angle_beta 90.00
_cell_angle_gamma 90.00
loop_
_symmetry_equiv_pos_as_xyz
'x,y,z'
'-x,-y,z+1/2'
'-x,y,z'
'x,-y,z+1/2'
'x+1/2,y+1/2,z'
'-x+1/2,-y+1/2,z+1/2'
'-x+1/2,y+1/2,z'
'x+1/2,-y+1/2,z+1/2'
loop_
_atom_site_label
_atom_site_type_symbol
_atom_site_fract_x
_atom_site_fract_y
_atom_site_fract_z
_atom_site_occupancy
Cs1 Cs 0.000 0.087 0.000 1
Cs2 Cs 0.000 0.132 0.639 1
Ba1 Ba 0.000 0.224 0.365 1
Tl1 Tl 0.000 0.459 0.793 1
I1 I 0.000 0.074 0.411 1
I2 I 0.000 0.264 0.001 1
I3 I 0.000 0.302 0.737 1
I4 I 0.000 0.378 0.329 1
I5 I 0.000 0.495 0.107 1
# - Calculated density: 4.1 g/cm3
# - ΔE_f (raw): -1.416 eV per atom
# - Crystal system: orthorhombic
# - Fermi-level density of states: 0.000 states/eV per atom

Number 1: total moment 0.00 μB/f.u.. Number 2: total moment 0.00 μB/f.u.. Number 3: total moment 0.00 μB/f.u.. Number 4: total moment 0.00 μB/f.u.. Number 5: total moment 0.00 μB/f.u.. Number 6: total moment 0.00 μB/f.u.. Number 7: total moment 1.23 μB/f.u.. Number 8: total moment 0.00 μB/f.u..